# 1
Below is an optimized crystal structure of Pr6Ni2RuBr3, with properties calculated at the PBE level.

Values from the calculation:
Fermi-level density of states (states/eV/cell): 6.13
Total magnetic moment (μB/atom): 0.00
Total DFT energy (no corrections) (eV for the cell shown): -64.27
Formation energy without anion corrections (kJ per mole of atoms): -78.3

Cell: 4.1190 9.1765 10.0655 Å, 111.75 101.81 90.00°
With the nearest neighbours (Å) after each atom.
Fractional coordinates of all 12 atoms:
Pr  0.3469  0.8847  0.6937  1 Ru 2.79, 2 Ni 2.85
Pr  0.6772  0.5540  0.3545  3 Ni 2.80
Pr  0.6531  0.1153  0.3063  1 Ru 2.79, 2 Ni 2.85
Pr  0.0115  0.2195  0.0230  2 Ru 2.83, 1 Ni 2.88
Pr  0.9885  0.7805  0.9770  2 Ru 2.83, 1 Ni 2.88
Pr  0.3228  0.4460  0.6455  3 Ni 2.80
Ni  0.8306  0.6591  0.6611  6 Pr 2.80-2.88
Ni  0.1694  0.3409  0.3389  6 Pr 2.80-2.88
Ru  0.5000  0.0000  0.0000  6 Pr 2.79-2.83
Br  0.5000  0.5000  0.0000  6 Pr 3.34-3.37
Br  0.8336  0.1677  0.6671  6 Pr 3.35-3.40
Br  0.1664  0.8323  0.3329  6 Pr 3.35-3.40


# 2
Below is an optimized crystal structure of Pr8Ni3RuBr4, with properties calculated at the PBE level.

Values from the calculation:
Fermi-level density of states (states/eV/cell): 9.55
Total magnetic moment (μB/atom): 0.00
Total DFT energy (no corrections) (eV for the cell shown): -84.57
Formation energy without anion corrections (kJ per mole of atoms): -78.5

Cell: 8.2164 9.1691 8.2178 Å, 116.61 119.99 90.00°
With the nearest neighbours (Å) after each atom.
Fractional coordinates of all 16 atoms:
Pr  0.2317  0.6959  0.9643  1 Ru 2.82, 2 Ni 2.83
Pr  0.2314  0.6955  0.4628  1 Ru 2.82, 2 Ni 2.83
Pr  0.2693  0.3078  0.5386  3 Ni 2.81
Pr  0.7326  0.6959  0.9643  1 Ru 2.82, 2 Ni 2.83
Pr  0.2674  0.3041  0.0357  1 Ru 2.82, 2 Ni 2.83
Pr  0.7307  0.6922  0.4614  3 Ni 2.81
Pr  0.7686  0.3045  0.5372  1 Ru 2.82, 2 Ni 2.83
Pr  0.7683  0.3041  0.0357  1 Ru 2.82, 2 Ni 2.83
Ni  0.5000  0.5000  0.0000  6 Pr 2.81-2.83
Ni  0.5000  0.5000  0.5000  6 Pr 2.81-2.83
Ni  0.0000  0.5000  0.5000  6 Pr 2.81-2.83
Ru  0.0000  0.5000  0.0000  6 Pr 2.82
Br  0.5000  0.0000  0.0000  6 Pr 3.37
Br  0.5000  0.0000  0.5000  6 Pr 3.36-3.39
Br  0.0000  0.0000  0.0000  6 Pr 3.36-3.39
Br  0.0000  0.0000  0.5000  6 Pr 3.36-3.39


# 3
Below is an optimized crystal structure of Pr8NiRu3Br4, with properties calculated at the PBE level.

Values from the calculation:
Fermi-level density of states (states/eV/cell): 5.56
Total magnetic moment (μB/atom): 0.00
Total DFT energy (no corrections) (eV for the cell shown): -91.20
Formation energy without anion corrections (kJ per mole of atoms): -76.4

Cell: 8.2028 9.2590 8.2017 Å, 116.30 120.00 90.00°
With the nearest neighbours (Å) after each atom.
Fractional coordinates of all 16 atoms:
Pr  0.2340  0.6959  0.9621  2 Ru 2.82, 1 Ni 2.86
Pr  0.2338  0.6961  0.4677  2 Ru 2.82, 1 Ni 2.86
Pr  0.2662  0.2990  0.5324  3 Ru 2.86
Pr  0.7281  0.6959  0.9621  2 Ru 2.82, 1 Ni 2.86
Pr  0.2719  0.3041  0.0379  2 Ru 2.82, 1 Ni 2.86
Pr  0.7338  0.7010  0.4676  3 Ru 2.86
Pr  0.7662  0.3039  0.5323  2 Ru 2.82, 1 Ni 2.86
Pr  0.7660  0.3041  0.0379  2 Ru 2.82, 1 Ni 2.86
Ni  0.0000  0.5000  0.0000  6 Pr 2.86
Ru  0.5000  0.5000  0.0000  6 Pr 2.82-2.86
Ru  0.5000  0.5000  0.5000  6 Pr 2.82-2.86
Ru  0.0000  0.5000  0.5000  6 Pr 2.82-2.86
Br  0.5000  0.0000  0.0000  6 Pr 3.37
Br  0.5000  0.0000  0.5000  6 Pr 3.36-3.39
Br  0.0000  0.0000  0.0000  6 Pr 3.35-3.40
Br  0.0000  0.0000  0.5000  6 Pr 3.36-3.39


# 4
Below is an optimized crystal structure of Pr8Ni3SBr4, with properties calculated at the PBE level.

Values from the calculation:
Fermi-level density of states (states/eV/cell): 14.05
Total magnetic moment (μB/atom): 0.00
Total DFT energy (no corrections) (eV for the cell shown): -82.23
Formation energy without anion corrections (kJ per mole of atoms): -95.4

Cell: 8.2506 8.9704 8.2522 Å, 117.40 120.00 90.00°
With the nearest neighbours (Å) after each atom.
Fractional coordinates of all 16 atoms:
Pr  0.2377  0.7050  0.9673  2 Ni 2.83, 1 S 2.88
Pr  0.2377  0.7049  0.4754  2 Ni 2.83, 1 S 2.88
Pr  0.2696  0.3089  0.5392  3 Ni 2.79
Pr  0.7296  0.7050  0.9673  2 Ni 2.83, 1 S 2.88
Pr  0.2704  0.2950  0.0327  2 Ni 2.83, 1 S 2.88
Pr  0.7304  0.6911  0.4608  3 Ni 2.79
Pr  0.7623  0.2951  0.5246  2 Ni 2.83, 1 S 2.88
Pr  0.7623  0.2950  0.0327  2 Ni 2.83, 1 S 2.88
Ni  0.5000  0.5000  0.0000  6 Pr 2.79-2.83
Ni  0.5000  0.5000  0.5000  6 Pr 2.79-2.83
Ni  0.0000  0.5000  0.5000  6 Pr 2.79-2.83
S  0.0000  0.5000  0.0000  6 Pr 2.88
Br  0.5000  0.0000  0.0000  6 Pr 3.24
Br  0.5000  0.0000  0.5000  6 Pr 3.29-3.34
Br  0.0000  0.0000  0.0000  6 Pr 3.29-3.34
Br  0.0000  0.0000  0.5000  6 Pr 3.29-3.34


# 5
Below is an optimized crystal structure of Pr6NiS2Br3, with properties calculated at the PBE level.

Values from the calculation:
Fermi-level density of states (states/eV/cell): 9.43
Total magnetic moment (μB/atom): 0.00
Total DFT energy (no corrections) (eV for the cell shown): -63.82
Formation energy without anion corrections (kJ per mole of atoms): -129.4

Cell: 7.1578 7.1578 7.7939 Å, 98.75 98.75 119.92°
With the nearest neighbours (Å) after each atom.
Fractional coordinates of all 12 atoms:
Pr  0.9326  0.6049  0.7959  1 Ni 2.79, 2 S 2.85
Pr  0.7408  0.7408  0.2055  1 Ni 2.80, 2 S 2.85
Pr  0.0674  0.3951  0.2041  1 Ni 2.79, 2 S 2.85
Pr  0.6049  0.9326  0.7959  1 Ni 2.79, 2 S 2.85
Pr  0.2592  0.2592  0.7945  1 Ni 2.80, 2 S 2.85
Pr  0.3951  0.0674  0.2041  1 Ni 2.79, 2 S 2.85
Ni  0.0000  0.0000  0.0000  6 Pr 2.79-2.80
S  0.3337  0.6663  0.0000  6 Pr 2.85
S  0.6663  0.3337  0.0000  6 Pr 2.85
Br  0.1686  0.8314  0.5000  6 Pr 3.22-3.26
Br  0.8314  0.1686  0.5000  6 Pr 3.22-3.26
Br  0.5000  0.5000  0.5000  6 Pr 3.23-3.26


# 6
Below is an optimized crystal structure of Pr8SiNi3Br4, with properties calculated at the PBE level.

Values from the calculation:
Fermi-level density of states (states/eV/cell): 14.08
Total magnetic moment (μB/atom): 0.00
Total DFT energy (no corrections) (eV for the cell shown): -80.86
Formation energy without anion corrections (kJ per mole of atoms): -79.4

Cell: 8.3295 9.0446 8.3339 Å, 117.45 119.98 90.00°
With the nearest neighbours (Å) after each atom.
Fractional coordinates of all 16 atoms:
Pr  0.2394  0.7049  0.9661  2 Ni 2.85, 1 Si 2.92
Pr  0.2392  0.7047  0.4784  2 Ni 2.85, 1 Si 2.92
Pr  0.2685  0.3061  0.5370  3 Ni 2.83
Pr  0.7267  0.7049  0.9661  2 Ni 2.85, 1 Si 2.92
Pr  0.2733  0.2951  0.0339  2 Ni 2.85, 1 Si 2.92
Pr  0.7315  0.6939  0.4630  3 Ni 2.83
Pr  0.7608  0.2953  0.5216  2 Ni 2.85, 1 Si 2.92
Pr  0.7606  0.2951  0.0339  2 Ni 2.85, 1 Si 2.92
Si  0.0000  0.5000  0.0000  6 Pr 2.92
Ni  0.5000  0.5000  0.0000  6 Pr 2.83-2.85
Ni  0.5000  0.5000  0.5000  6 Pr 2.83-2.85
Ni  0.0000  0.5000  0.5000  6 Pr 2.83-2.85
Br  0.5000  0.0000  0.0000  6 Pr 3.26
Br  0.5000  0.0000  0.5000  6 Pr 3.32-3.36
Br  0.0000  0.0000  0.0000  6 Pr 3.32-3.36
Br  0.0000  0.0000  0.5000  6 Pr 3.32-3.36


# 7
Below is an optimized crystal structure of Pr4SiNiBr2, with properties calculated at the PBE level.

Values from the calculation:
Fermi-level density of states (states/eV/cell): 6.20
Total magnetic moment (μB/atom): 0.00
Total DFT energy (no corrections) (eV for the cell shown): -40.82
Formation energy without anion corrections (kJ per mole of atoms): -86.2

Cell: 4.1114 7.5567 7.8122 Å, 107.15 90.00 90.00°
With the nearest neighbours (Å) after each atom.
Fractional coordinates of all 8 atoms:
Pr  0.5000  0.2178  0.1976  2 Ni 2.80, 1 Si 2.98
Pr  0.5000  0.7822  0.8024  2 Ni 2.80, 1 Si 2.98
Pr  0.0000  0.2604  0.7849  2 Si 2.92, 1 Ni 2.94, 3 Br 3.24-3.26
Pr  0.0000  0.7396  0.2151  2 Si 2.92, 1 Ni 2.94, 3 Br 3.24-3.26
Si  0.5000  0.5000  0.0000  6 Pr 2.92-2.98
Ni  0.0000  0.0000  0.0000  6 Pr 2.80-2.94
Br  0.5000  0.0000  0.5000  6 Pr 3.24-3.25
Br  0.0000  0.5000  0.5000  6 Pr 3.26-3.37


# 8
Below is an optimized crystal structure of TbPrNiBr, with properties calculated at the PBE level.

Values from the calculation:
Fermi-level density of states (states/eV/cell): 3.61
Total magnetic moment (μB/atom): 0.00
Total DFT energy (no corrections) (eV for the cell shown): -20.04
Formation energy without anion corrections (kJ per mole of atoms): -76.5

Cell: 4.0098 4.0100 8.0793 Å, 90.00 104.37 120.00°
With the nearest neighbours (Å) after each atom.
Fractional coordinates of all 4 atoms:
Tb  0.0984  0.9472  0.0609  3 Ni 2.72
Pr  0.5085  0.1522  0.6759  3 Ni 2.79
Ni  0.3093  0.5526  0.8770  3 Tb 2.72, 3 Pr 2.79
Br  0.9617  0.3788  0.3558  3 Tb 3.25, 3 Pr 3.39


# 9
Below is an optimized crystal structure of Pr8TcNi3Br4, with properties calculated at the PBE level.

Values from the calculation:
Fermi-level density of states (states/eV/cell): 6.68
Total magnetic moment (μB/atom): 0.00
Total DFT energy (no corrections) (eV for the cell shown): -84.62
Formation energy without anion corrections (kJ per mole of atoms): -72.3

Cell: 8.1797 9.2025 8.1797 Å, 116.36 120.00 90.00°
With the nearest neighbours (Å) after each atom.
Fractional coordinates of all 16 atoms:
Pr  0.2322  0.6987  0.9664  1 Tc 2.83, 2 Ni 2.84
Pr  0.2320  0.6987  0.4640  1 Tc 2.83, 2 Ni 2.84
Pr  0.2698  0.3093  0.5396  3 Ni 2.80
Pr  0.7343  0.6987  0.9664  1 Tc 2.83, 2 Ni 2.84
Pr  0.2657  0.3013  0.0336  1 Tc 2.83, 2 Ni 2.84
Pr  0.7302  0.6907  0.4604  3 Ni 2.80
Pr  0.7680  0.3013  0.5360  1 Tc 2.83, 2 Ni 2.84
Pr  0.7678  0.3013  0.0336  1 Tc 2.83, 2 Ni 2.84
Tc  0.0000  0.5000  0.0000  6 Pr 2.83
Ni  0.5000  0.5000  0.0000  6 Pr 2.80-2.84
Ni  0.5000  0.5000  0.5000  6 Pr 2.80-2.84
Ni  0.0000  0.5000  0.5000  6 Pr 2.80-2.84
Br  0.5000  0.0000  0.0000  6 Pr 3.36
Br  0.5000  0.0000  0.5000  6 Pr 3.35-3.40
Br  0.0000  0.0000  0.0000  6 Pr 3.35-3.40
Br  0.0000  0.0000  0.5000  6 Pr 3.35-3.40


# 10
Below is an optimized crystal structure of Pr6Ni2TeBr3, with properties calculated at the PBE level.

Values from the calculation:
Fermi-level density of states (states/eV/cell): 11.16
Total magnetic moment (μB/atom): 0.00
Total DFT energy (no corrections) (eV for the cell shown): -59.75
Formation energy without anion corrections (kJ per mole of atoms): -91.3

Cell: 4.1066 9.2736 9.8719 Å, 103.83 102.00 90.00°
With the nearest neighbours (Å) after each atom.
Fractional coordinates of all 12 atoms:
Pr  0.3291  0.8635  0.6583  2 Ni 2.78
Pr  0.6759  0.5477  0.3518  3 Ni 2.81-2.97
Pr  0.6709  0.1365  0.3417  2 Ni 2.78
Pr  0.0174  0.2625  0.0348  1 Ni 2.79, 2 Br 3.09
Pr  0.9826  0.7375  0.9652  1 Ni 2.79, 2 Br 3.09
Pr  0.3241  0.4523  0.6482  3 Ni 2.81-2.97
Ni  0.8337  0.6639  0.6674  6 Pr 2.78-2.97
Ni  0.1663  0.3361  0.3326  6 Pr 2.78-2.97
Te  0.5000  0.0000  0.0000  6 Pr 3.14-3.23
Br  0.5000  0.5000  0.0000  6 Pr 3.09-3.32
Br  0.8392  0.1646  0.6785  6 Pr 3.20-3.43
Br  0.1608  0.8354  0.3215  6 Pr 3.20-3.43


# 11
Below is an optimized crystal structure of Pr3NiTeBr, with properties calculated at the PBE level.

Values from the calculation:
Fermi-level density of states (states/eV/cell): 8.28
Total magnetic moment (μB/atom): 0.00
Total DFT energy (no corrections) (eV for the cell shown): -61.10
Formation energy without anion corrections (kJ per mole of atoms): -90.3

Cell: 4.0496 7.5736 12.8758 Å, 116.21 90.00 90.00°
With the nearest neighbours (Å) after each atom.
Fractional coordinates of all 12 atoms:
Pr  0.2500  0.7022  0.4961  3 Br 3.09-3.12, 3 Te 3.19-3.27
Pr  0.7500  0.8726  0.1202  3 Ni 2.96-3.02, 1 Br 3.28
Pr  0.7500  0.4235  0.1713  3 Ni 2.96, 1 Br 3.04, 2 Te 3.28
Pr  0.7500  0.2978  0.5039  3 Br 3.09-3.12, 3 Te 3.19-3.27
Pr  0.2500  0.5765  0.8287  3 Ni 2.96, 1 Br 3.04, 2 Te 3.28
Pr  0.2500  0.1274  0.8798  3 Ni 2.96-3.02, 1 Br 3.28
Ni  0.2500  0.5560  0.0528  2 Ni 2.38
Ni  0.7500  0.4440  0.9472  2 Ni 2.38
Te  0.7500  0.7566  0.6992  7 Pr 3.19-3.41
Te  0.2500  0.2434  0.3008  7 Pr 3.19-3.41
Br  0.2500  0.1605  0.6346  5 Pr 3.04-3.28
Br  0.7500  0.8395  0.3654  5 Pr 3.04-3.28


# 12
Below is an optimized crystal structure of Pr8Zn3NiBr4, with properties calculated at the PBE level.

Values from the calculation:
Fermi-level density of states (states/eV/cell): 13.64
Total magnetic moment (μB/atom): 0.00
Total DFT energy (no corrections) (eV for the cell shown): -65.98
Formation energy without anion corrections (kJ per mole of atoms): -69.0

Cell: 8.4420 8.9601 8.4411 Å, 118.10 120.00 90.00°
With the nearest neighbours (Å) after each atom.
Fractional coordinates of all 16 atoms:
Pr  0.2317  0.7202  0.9887  1 Ni 2.84, 2 Zn 3.00, 2 Br 3.17-3.18
Pr  0.2321  0.7207  0.4643  1 Ni 2.85, 2 Zn 3.00, 2 Br 3.17
Pr  0.2520  0.2561  0.5040  3 Zn 3.05, 3 Br 3.11
Pr  0.7570  0.7202  0.9887  1 Ni 2.84, 2 Zn 3.00, 2 Br 3.17-3.18
Pr  0.2430  0.2798  0.0113  1 Ni 2.84, 2 Zn 3.00, 2 Br 3.17-3.18
Pr  0.7480  0.7439  0.4960  3 Zn 3.05, 3 Br 3.11
Pr  0.7679  0.2793  0.5357  1 Ni 2.85, 2 Zn 3.00, 2 Br 3.17
Pr  0.7683  0.2798  0.0113  1 Ni 2.84, 2 Zn 3.00, 2 Br 3.17-3.18
Zn  0.5000  0.5000  0.0000  6 Pr 3.00-3.05
Zn  0.5000  0.5000  0.5000  6 Pr 3.00-3.05
Zn  0.0000  0.5000  0.5000  6 Pr 3.00-3.05
Ni  0.0000  0.5000  0.0000  6 Pr 2.84-2.85
Br  0.5000  0.0000  0.0000  6 Pr 3.31
Br  0.5000  0.0000  0.5000  6 Pr 3.11-3.17
Br  0.0000  0.0000  0.0000  6 Pr 3.11-3.18
Br  0.0000  0.0000  0.5000  6 Pr 3.11-3.17